Record 1
Compound: LaAs2Se
Source: the Alexandria database
Functional: PBE-GGA
Structure: relaxed

Values from the calculation:
E_form (uncorrected): -12.52 kcal/mol of atoms
ΔE to the lowest computed polymorph: 170 kJ/mol of formula units
SG: F-43m, No. 216

abc: 5.1146 5.1146 5.1146
angles: 60.00 60.00 60.00
Last column: nearest neighbours and their distance in Å.
Atoms (fractional coordinates):
1 As 0.0000 0.0000 0.0000  4 Se 3.13, 4 As 3.13
2 As 0.2500 0.2500 0.2500  4 La 3.13, 4 As 3.13
3 Se 0.7500 0.7500 0.7500  4 La 3.13, 4 As 3.13
4 La 0.5000 0.5000 0.5000  4 As 3.13, 4 Se 3.13

Record 2
Compound: Dy6SbSe3S2
Source: the Alexandria database
Functional: PBE-GGA
Structure: relaxed

Values from the calculation:
E_form (uncorrected): -39.41 kcal/mol of atoms
SG: C2/m, No. 12

abc: 4.0684 8.1951 9.1302
angles: 103.40 102.87 90.00
Last column: nearest neighbours and their distance in Å.
Atoms (fractional coordinates):
1 Dy 0.3275 0.8912 0.6551  2 S 2.78, 3 Se 2.86-3.01, 1 Sb 2.99
2 Dy 0.6723 0.5720 0.3445  3 S 2.74-2.78, 3 Se 2.98-2.99
3 Dy 0.6725 0.1088 0.3449  2 S 2.78, 3 Se 2.86-3.01, 1 Sb 2.99
4 Dy 0.0097 0.2655 0.0194  1 S 2.76, 3 Se 2.83-2.98, 2 Sb 2.95
5 Dy 0.9903 0.7345 0.9806  1 S 2.76, 3 Se 2.83-2.98, 2 Sb 2.95
6 Dy 0.3277 0.4280 0.6555  3 S 2.74-2.78, 3 Se 2.98-2.99
7 Sb 0.5000 0.0000 0.0000  6 Dy 2.95-2.99
8 Se 0.5000 0.5000 0.0000  6 Dy 2.83-2.98
9 Se 0.8375 0.1664 0.6750  6 Dy 2.86-3.01
10 Se 0.1625 0.8336 0.3250  6 Dy 2.86-3.01
11 S 0.8307 0.6612 0.6614  6 Dy 2.74-2.78
12 S 0.1693 0.3388 0.3386  6 Dy 2.74-2.78